Record 1
VASP calculation (PBE-GGA) on a geometry-optimized ZrVTcMo structure.

Magnetic moment (Bohr magnetons per cell): 0.00
Formation energy (eV/atom): -0.113
D(E_F) (states/eV/f.u.): 3.656

Cell: 4.5047 4.5047 4.5047 Å, 60.00 60.00 60.00°
Atoms (fractional coordinates):
Zr: 0.0000 0.0000 0.0000
V: 0.5000 0.5000 0.5000
Tc: 0.7500 0.7500 0.7500
Mo: 0.2500 0.2500 0.2500

***

Record 2
VASP calculation (PBE-GGA) on a geometry-optimized TmSc2TaN4 structure.

Magnetic moment (Bohr magnetons per cell): 0.00
E_form (uncorrected) (eV per atom): -1.699
D(E_F) (states/eV/f.u.): 2.162

Cell: 5.5514 3.2054 5.5908 Å, 90.00 109.23 90.00°
Atoms (fractional coordinates):
Tm: 0.0000 0.0000 0.0000
Sc: 0.5000 0.0000 0.5000
Sc: 0.5000 0.5000 0.0000
Ta: 0.0000 0.5000 0.5000
N: 0.2454 0.0000 0.7372
N: 0.2505 0.5000 0.2658
N: 0.7495 0.5000 0.7342
N: 0.7546 0.0000 0.2628

***

Record 3
VASP calculation (PBE-GGA) on a geometry-optimized ZrReSi structure.

Magnetic moment (Bohr magnetons per cell): 0.00
E_form (uncorrected) (eV per atom): -0.450
D(E_F) (states/eV/f.u.): 2.174

Cell: 6.1287 5.1890 4.8667 Å, 75.03 54.88 50.10°
Atoms (fractional coordinates):
Zr: 0.1618 0.8382 0.1618
Zr: 0.8382 0.1618 0.8382
Re: 0.3416 0.3416 0.6584
Re: 0.6584 0.6584 0.3416
Si: 0.2500 0.2500 0.2500
Si: 0.7500 0.7500 0.7500

***

Record 4
VASP calculation (PBE-GGA) on a geometry-optimized ScCrPb2 structure.

Excess energy over the best structure of this formula in the dataset (eV per formula unit): 0.151
Magnetic moment (Bohr magnetons per cell): 4.42
Formation energy (eV/atom): 0.140
D(E_F) (states/eV/f.u.): 2.471

Cell: 5.3315 5.3315 3.3788 Å, 90.00 90.00 100.58°
Atoms (fractional coordinates):
Sc: 0.0000 0.0000 0.0000
Cr: 0.5000 0.5000 0.0000
Pb: 0.0000 0.5000 0.5000
Pb: 0.5000 0.0000 0.5000

***

Record 5
VASP calculation (PBE-GGA) on a geometry-optimized Ta2HgSe structure.

Excess energy over the best structure of this formula in the dataset (eV per formula unit): 0.331
Magnetic moment (Bohr magnetons per cell): 0.00
E_form (uncorrected) (eV per atom): 0.056
D(E_F) (states/eV/f.u.): 5.085

Cell: 3.3523 3.3523 7.4043 Å, 90.00 90.00 90.00°
Atoms (fractional coordinates):
Ta: 0.0000 0.0000 0.0000
Ta: 0.5000 0.5000 0.2176
Hg: 0.0000 0.0000 0.4678
Se: 0.5000 0.5000 0.8294

***

Record 6
VASP calculation (PBE-GGA) on a geometry-optimized Lu2PdO structure.

Excess energy over the best structure of this formula in the dataset (eV per formula unit): 0.024
Magnetic moment (Bohr magnetons per cell): 0.00
E_form (uncorrected) (eV per atom): -1.295
D(E_F) (states/eV/f.u.): 2.779

Cell: 3.0945 3.0945 7.0007 Å, 90.00 90.00 90.00°
Atoms (fractional coordinates):
Lu: 0.0000 0.0000 0.2281
Lu: 0.0000 0.0000 0.7719
Pd: 0.5000 0.5000 0.5000
O: 0.5000 0.5000 0.0000

***

Record 7
VASP calculation (PBE-GGA) on a geometry-optimized Cr2AsIr structure.

Magnetic moment (Bohr magnetons per cell): 0.00
Formation energy (eV/atom): -0.017
D(E_F) (states/eV/f.u.): 3.286

Cell: 2.8295 2.8295 6.5121 Å, 90.00 90.00 90.00°
Atoms (fractional coordinates):
Cr: 0.0000 0.0000 0.2319
Cr: 0.0000 0.0000 0.7681
As: 0.5000 0.5000 0.0000
Ir: 0.5000 0.5000 0.5000

***

Record 8
VASP calculation (PBE-GGA) on a geometry-optimized BaScMo structure.

Excess energy over the best structure of this formula in the dataset (eV per formula unit): 3.272
Magnetic moment (Bohr magnetons per cell): 2.93
Formation energy (eV/atom): 1.792
D(E_F) (states/eV/f.u.): 3.313

Cell: 5.0439 5.0439 5.0439 Å, 60.00 60.00 60.00°
Atoms (fractional coordinates):
Ba: 0.0000 0.0000 0.0000
Sc: 0.7500 0.7500 0.7500
Mo: 0.2500 0.2500 0.2500

***

Record 9
VASP calculation (PBE-GGA) on a geometry-optimized LiMg2As structure.

Magnetic moment (Bohr magnetons per cell): 0.00
Formation energy (eV/atom): -0.124
D(E_F) (states/eV/f.u.): 1.191

Cell: 3.1264 3.1264 8.4800 Å, 90.00 90.00 94.62°
Atoms (fractional coordinates):
Li: 0.0000 0.0000 0.0000
Mg: 0.5000 0.5000 0.2644
Mg: 0.5000 0.5000 0.7356
As: 0.0000 0.0000 0.5000

***

Record 10
VASP calculation (PBE-GGA) on a geometry-optimized Ti5FeCo4 structure.

Magnetic moment (Bohr magnetons per cell): 2.34
Formation energy (eV/atom): -0.388
D(E_F) (states/eV/f.u.): 10.468

Cell: 2.9750 2.9750 14.8236 Å, 90.00 90.00 90.00°
Atoms (fractional coordinates):
Ti: 0.0000 0.0000 0.0000
Ti: 0.0000 0.0000 0.2016
Ti: 0.0000 0.0000 0.4016
Ti: 0.0000 0.0000 0.5984
Ti: 0.0000 0.0000 0.7984
Fe: 0.5000 0.5000 0.5000
Co: 0.5000 0.5000 0.1018
Co: 0.5000 0.5000 0.3014
Co: 0.5000 0.5000 0.6986
Co: 0.5000 0.5000 0.8982

***

Record 11
VASP calculation (PBE-GGA) on a geometry-optimized NaLiMg2Ta structure.

Magnetic moment (Bohr magnetons per cell): 0.00
Formation energy (eV/atom): 1.479
D(E_F) (states/eV/f.u.): 4.375

Cell: 5.0272 5.0272 5.1107 Å, 90.00 90.00 90.00°
Atoms (fractional coordinates):
Na: 0.0000 0.0000 0.0000
Li: 0.5000 0.5000 0.5000
Mg: 0.0000 0.5000 0.0000
Mg: 0.5000 0.0000 0.0000
Ta: 0.0000 0.0000 0.5000

***

Record 12
VASP calculation (PBE-GGA) on a geometry-optimized KMn2Pb structure.

Excess energy over the best structure of this formula in the dataset (eV per formula unit): 1.357
Magnetic moment (Bohr magnetons per cell): 7.91
Formation energy (eV/atom): 0.847
D(E_F) (states/eV/f.u.): 3.379

Cell: 10.9799 10.9799 10.9799 Å, 17.33 17.33 17.33°
Atoms (fractional coordinates):
K: 0.0000 0.0000 0.0000
Mn: 0.2390 0.2390 0.2390
Mn: 0.7610 0.7610 0.7610
Pb: 0.5000 0.5000 0.5000

***

Record 13
VASP calculation (PBE-GGA) on a geometry-optimized MnSiSb2 structure.

Magnetic moment (Bohr magnetons per cell): 3.75
E_form (uncorrected) (eV per atom): 0.461
D(E_F) (states/eV/f.u.): 2.094

Cell: 3.8345 4.1824 5.4054 Å, 90.00 90.00 90.00°
Atoms (fractional coordinates):
Mn: 0.0000 0.0000 0.0000
Si: 0.0000 0.5000 0.5000
Sb: 0.5000 0.0000 0.5000
Sb: 0.5000 0.5000 0.0000

***

Record 14
VASP calculation (PBE-GGA) on a geometry-optimized EuPuRe4 structure.

Magnetic moment (Bohr magnetons per cell): 1.14
Formation energy (eV/atom): 0.145
D(E_F) (states/eV/f.u.): 14.463

Cell: 5.4337 5.4337 5.4337 Å, 60.00 60.00 60.00°
Atoms (fractional coordinates):
Eu: 0.0000 0.0000 0.0000
Pu: 0.7500 0.7500 0.7500
Re: 0.3749 0.3749 0.3749
Re: 0.3749 0.3749 0.8753
Re: 0.3749 0.8753 0.3749
Re: 0.8753 0.3749 0.3749

***

Record 15
VASP calculation (PBE-GGA) on a geometry-optimized Tb2Ho3In6 structure.

Magnetic moment (Bohr magnetons per cell): 0.00
Formation energy (eV/atom): 0.113
D(E_F) (states/eV/f.u.): 13.446

Cell: 11.9807 11.9807 11.9807 Å, 152.03 152.03 39.96°
Atoms (fractional coordinates):
Tb: 0.0800 0.0800 0.0000
Tb: 0.9200 0.9200 0.0000
Ho: 0.3569 0.3569 0.0000
Ho: 0.5000 0.5000 0.0000
Ho: 0.6431 0.6431 0.0000
In: 0.0676 0.5676 0.5000
In: 0.2193 0.2193 0.0000
In: 0.4324 0.9324 0.5000
In: 0.5676 0.0676 0.5000
In: 0.7807 0.7807 0.0000
In: 0.9324 0.4324 0.5000

***

Record 16
VASP calculation (PBE-GGA) on a geometry-optimized KBe2InI6 structure.

Magnetic moment (Bohr magnetons per cell): 0.00
E_form (uncorrected) (eV per atom): -0.692
D(E_F) (states/eV/f.u.): 0.000

Cell: 7.6219 7.6219 18.2881 Å, 96.85 96.85 109.57°
Atoms (fractional coordinates):
K: 0.0837 0.9163 0.7500
K: 0.9163 0.0837 0.2500
Be: 0.0433 0.3809 0.6662
Be: 0.3809 0.0433 0.1662
Be: 0.6191 0.9567 0.8338
Be: 0.9567 0.6191 0.3338
In: 0.4228 0.5772 0.2500
In: 0.5772 0.4228 0.7500
I: 0.1028 0.4392 0.7964
I: 0.1522 0.4918 0.3961
I: 0.1845 0.1984 0.6042
I: 0.1984 0.1845 0.1042
I: 0.4392 0.1028 0.2964
I: 0.4918 0.1522 0.8961
I: 0.5082 0.8478 0.1039
I: 0.5608 0.8972 0.7036
I: 0.8016 0.8155 0.8958
I: 0.8155 0.8016 0.3958
I: 0.8478 0.5082 0.6039
I: 0.8972 0.5608 0.2036

***

Record 17
VASP calculation (PBE-GGA) on a geometry-optimized TlNi2Pb structure.

Magnetic moment (Bohr magnetons per cell): 0.00
Formation energy (eV/atom): 0.345
D(E_F) (states/eV/f.u.): 2.362

Cell: 3.2332 4.4748 4.9821 Å, 90.00 90.00 90.00°
Atoms (fractional coordinates):
Tl: 0.0000 0.0000 0.0000
Ni: 0.5000 0.0000 0.5000
Ni: 0.5000 0.5000 0.0000
Pb: 0.0000 0.5000 0.5000

***

Record 18
VASP calculation (PBE-GGA) on a geometry-optimized KHfIn2 structure.

Excess energy over the best structure of this formula in the dataset (eV per formula unit): 0.000
Magnetic moment (Bohr magnetons per cell): 0.00
Formation energy (eV/atom): 0.346
D(E_F) (states/eV/f.u.): 4.011

Cell: 5.3222 5.3222 5.3222 Å, 60.00 60.00 60.00°
Atoms (fractional coordinates):
K: 0.0000 0.0000 0.0000
Hf: 0.5000 0.5000 0.5000
In: 0.2500 0.2500 0.2500
In: 0.7500 0.7500 0.7500

***

Record 19
VASP calculation (PBE-GGA) on a geometry-optimized Pr2Mn2Cu15 structure.

Magnetic moment (Bohr magnetons per cell): 7.05
Formation energy (eV/atom): -0.051
D(E_F) (states/eV/f.u.): 11.150

Cell: 6.5567 6.5567 6.5567 Å, 82.83 82.83 82.83°
Atoms (fractional coordinates):
Pr: 0.1569 0.1569 0.1569
Pr: 0.8431 0.8431 0.8431
Mn: 0.4025 0.4025 0.4025
Mn: 0.5975 0.5975 0.5975
Cu: 0.0000 0.5000 0.5000
Cu: 0.1549 0.1549 0.6522
Cu: 0.1549 0.6522 0.1549
Cu: 0.2096 0.5000 0.7904
Cu: 0.2096 0.7904 0.5000
Cu: 0.3478 0.8451 0.8451
Cu: 0.5000 0.0000 0.5000
Cu: 0.5000 0.2096 0.7904
Cu: 0.5000 0.5000 0.0000
Cu: 0.5000 0.7904 0.2096
Cu: 0.6522 0.1549 0.1549
Cu: 0.7904 0.2096 0.5000
Cu: 0.7904 0.5000 0.2096
Cu: 0.8451 0.3478 0.8451
Cu: 0.8451 0.8451 0.3478

***

Record 20
VASP calculation (PBE-GGA) on a geometry-optimized DyHo2ErRh4 structure.

Magnetic moment (Bohr magnetons per cell): 0.00
Formation energy (eV/atom): -0.912
D(E_F) (states/eV/f.u.): 3.233

Cell: 8.3574 8.3574 8.3574 Å, 33.52 33.52 33.52°
Atoms (fractional coordinates):
Dy: 0.0000 0.0000 0.0000
Ho: 0.2497 0.2497 0.2497
Ho: 0.7503 0.7503 0.7503
Er: 0.5000 0.5000 0.5000
Rh: 0.1254 0.1254 0.1254
Rh: 0.3754 0.3754 0.3754
Rh: 0.6246 0.6246 0.6246
Rh: 0.8746 0.8746 0.8746

***

Ordered calculated total energy results: -9.83; -9.49; -9.26; -5.70; -6.82; -6.09; -8.21; -4.57; -2.56; -8.02; -2.18; -4.94; -5.25; -12.25; -3.47; -2.75; -4.06; -3.79; -4.75; -6.88; unit eV per atom.